A geometry-optimized TlMo4P structure, computed with PBE.

```
TlMo4P
1.0
0.000 3.759 3.759
3.759 0.000 3.759
3.759 3.759 0.000
Tl Mo P
1 4 1
Direct
0.000 0.000 0.000
0.125 0.625 0.625
0.625 0.125 0.625
0.625 0.625 0.125
0.625 0.625 0.625
0.250 0.250 0.250
```

Energy of formation from the pure elements ... 68.7 kJ per mole of atoms
N(E_F) ... 4.803 states/eV/f.u.
Uncorrected energy ... -7.805 eV/atom